Material: LaCoTcGe2
Method: DFT, PBE
State: relaxed

electronic total energy	-34.23	eV for the cell shown
size of the total moment	0.000	μB/f.u.

Cell: 5.949 5.949 5.949 Å, 138.22 138.22 60.57°
Atoms (fractional coordinates):
La (0.000, 0.000, 0.000)
Co (0.250, 0.750, 0.500)
Tc (0.750, 0.250, 0.500)
Ge (0.365, 0.365, 0.000)
Ge (0.635, 0.635, 0.000)